No. 1
A plane-wave DFT calculation with PBE was carried out for a relaxed structure of ZnRe2Mo.

Values from the calculation:
Its total moment is 0.0 μB/cell. As for the density of states at the Fermi level: 0.77 states/eV/atom. Its calculated formation energy is 0.18 eV/atom. As for the space group: No. 6.

abc: 2.744 4.390 5.069
angles: 90.00 100.17 90.00
Sites, in units of the cell vectors:
1 Zn 0.000 0.000 0.000
2 Re 0.052 0.500 0.703
3 Re 0.440 0.000 0.506
4 Mo 0.563 0.500 0.201

---

No. 2
A plane-wave DFT calculation with PBE was carried out for a relaxed structure of ZnRe2Mo.

Values from the calculation:
Its total moment is 0.0 μB/cell. As for the density of states at the Fermi level: 0.96 states/eV/atom. Its calculated formation energy is 0.26 eV/atom. As for the space group: No. 216.

abc: 6.214 6.214 6.214
angles: 90.00 90.00 90.00
Sites, in units of the cell vectors:
1 Zn 0.000 0.000 0.000
2 Zn 0.000 0.500 0.500
3 Zn 0.500 0.000 0.500
4 Zn 0.500 0.500 0.000
5 Re 0.000 0.000 0.500
6 Re 0.000 0.500 0.000
7 Re 0.250 0.250 0.250
8 Re 0.250 0.750 0.750
9 Re 0.500 0.000 0.000
10 Re 0.500 0.500 0.500
11 Re 0.750 0.250 0.750
12 Re 0.750 0.750 0.250
13 Mo 0.250 0.250 0.750
14 Mo 0.250 0.750 0.250
15 Mo 0.750 0.250 0.250
16 Mo 0.750 0.750 0.750

---

No. 3
A plane-wave DFT calculation with PBE was carried out for a relaxed structure of ZnRe2Mo.

Values from the calculation:
Its total moment is 0.0 μB/cell. As for the density of states at the Fermi level: 0.88 states/eV/atom. Its calculated formation energy is 0.31 eV/atom. As for the space group: No. 47.

abc: 3.134 4.361 4.380
angles: 90.00 90.00 90.00
Sites, in units of the cell vectors:
1 Zn 0.000 0.000 0.000
2 Re 0.000 0.500 0.500
3 Re 0.500 0.500 0.000
4 Mo 0.500 0.000 0.500

---

No. 4
A plane-wave DFT calculation with PBE was carried out for a relaxed structure of Zn2ReMo.

Values from the calculation:
Its total moment is 0.0 μB/cell. As for the density of states at the Fermi level: 0.50 states/eV/atom. Its calculated formation energy is 0.11 eV/atom. As for the space group: No. 99. The value obtained for the relative energy among the computed polymorphs is 0 meV per atom.

abc: 3.194 3.194 5.929
angles: 90.00 90.00 90.00
Sites, in units of the cell vectors:
1 Zn 0.000 0.000 0.000
2 Zn 0.500 0.500 0.222
3 Re 0.500 0.500 0.721
4 Mo 0.000 0.000 0.508

---

No. 5
A plane-wave DFT calculation with PBE was carried out for a relaxed structure of Zn2ReMo.

Values from the calculation:
Its total moment is 0.0 μB/cell. As for the density of states at the Fermi level: 0.65 states/eV/atom. Its calculated formation energy is 0.28 eV/atom. As for the space group: No. 65. The value obtained for the relative energy among the computed polymorphs is 164 meV per atom.

abc: 5.346 8.519 2.605
angles: 90.00 90.00 90.00
Sites, in units of the cell vectors:
1 Zn 0.250 0.250 0.000
2 Zn 0.250 0.750 0.000
3 Zn 0.750 0.250 0.000
4 Zn 0.750 0.750 0.000
5 Re 0.000 0.000 0.500
6 Re 0.500 0.500 0.500
7 Mo 0.000 0.500 0.500
8 Mo 0.500 0.000 0.500

---

No. 6
A plane-wave DFT calculation with PBE was carried out for a relaxed structure of ZnRe3Mo.

Values from the calculation:
Its total moment is 0.0 μB/cell. As for the density of states at the Fermi level: 1.16 states/eV/atom. Its calculated formation energy is 1.97 eV/atom. As for the space group: No. 221. The value obtained for the relative energy among the computed polymorphs is 0 meV per atom.

abc: 4.429 4.429 4.429
angles: 90.00 90.00 90.00
Sites, in units of the cell vectors:
1 Zn 0.000 0.000 0.000
2 Re 0.000 0.000 0.500
3 Re 0.000 0.500 0.000
4 Re 0.500 0.000 0.000
5 Mo 0.500 0.500 0.500

---

No. 7
A plane-wave DFT calculation with PBE was carried out for a relaxed structure of ZnRe2Mo.

Values from the calculation:
Its total moment is 0.0 μB/cell. As for the density of states at the Fermi level: 1.00 states/eV/atom. Its calculated formation energy is 0.19 eV/atom. As for the space group: No. 44.

abc: 3.145 4.331 8.786
angles: 90.00 90.00 90.00
Sites, in units of the cell vectors:
1 Zn 0.000 0.000 0.000
2 Zn 0.500 0.500 0.500
3 Re 0.000 0.000 0.496
4 Re 0.000 0.500 0.754
5 Re 0.500 0.000 0.254
6 Re 0.500 0.500 0.996
7 Mo 0.000 0.500 0.241
8 Mo 0.500 0.000 0.741

---

No. 8
A plane-wave DFT calculation with PBE was carried out for a relaxed structure of Zn2ReMo.

Values from the calculation:
Its total moment is 0.0 μB/cell. As for the density of states at the Fermi level: 0.95 states/eV/atom. Its calculated formation energy is 0.80 eV/atom. As for the space group: No. 122. The value obtained for the relative energy among the computed polymorphs is 689 meV per atom.

abc: 6.972 6.972 5.212
angles: 90.00 90.00 90.00
Sites, in units of the cell vectors:
1 Zn 0.246 0.250 0.125
2 Zn 0.250 0.746 0.375
3 Zn 0.250 0.754 0.875
4 Zn 0.254 0.250 0.625
5 Zn 0.746 0.750 0.625
6 Zn 0.750 0.246 0.875
7 Zn 0.750 0.254 0.375
8 Zn 0.754 0.750 0.125
9 Re 0.000 0.000 0.000
10 Re 0.000 0.500 0.250
11 Re 0.500 0.000 0.750
12 Re 0.500 0.500 0.500
13 Mo 0.000 0.000 0.500
14 Mo 0.000 0.500 0.750
15 Mo 0.500 0.000 0.250
16 Mo 0.500 0.500 0.000